[1]
Density functional theory data (GGA-PBE) for crystalline Ga3Pd3Pt at its relaxed geometry.

Output
Formation enthalpy at 0 K ... -9.74 kcal/mol of atoms
SG ... C2/m, No. 12
Crystal system ... monoclinic

Cell and atoms, written as extended XYZ:
```
14
Lattice="-2.719 -5.505 1.752 0.177 1.044 -6.297 6.615 -1.157 1.439" Properties=species:S:1:pos:R:3 pbc="T T T"
Ga -1.427 -3.299 -3.198
Ga 2.403 -5.025 -0.478
Ga 3.506 -2.531 -3.544
Ga 1.669 -0.592 -2.627
Ga 0.566 -3.086 0.438
Ga 5.499 -2.318 0.092
Pd 0.788 -3.039 -2.189
Pd 3.116 -0.367 -4.554
Pd 0.956 -5.251 1.449
Pd -0.638 -0.799 -4.032
Pd -1.904 -3.662 -0.512
Pd 3.284 -2.578 -0.916
Pt 2.960 -4.830 -2.865
Pt 1.112 -0.787 -0.241
```

=====

[2]
Density functional theory data (GGA-PBE) for crystalline Pu2Ga3PdPt4 at its relaxed geometry.

Output
Formation enthalpy at 0 K ... -16.71 kcal/mol of atoms
SG ... P-4m2, No. 115
Crystal system ... tetragonal

Cell and atoms, written as extended XYZ:
```
10
Lattice="-2.529 -0.750 -3.052 -0.770 -3.650 1.535 -8.810 4.467 6.201" Properties=species:S:1:pos:R:3 pbc="T T T"
Pu -3.566 0.792 0.094
Pu -6.894 1.475 5.349
Ga -4.405 2.234 3.101
Ga -8.932 3.513 3.871
Ga -1.527 -1.246 1.572
Pd -6.055 0.033 2.342
Pt -1.650 -2.200 -0.759
Pt 0.000 0.000 0.000
Pt -7.072 2.570 2.562
Pt -3.387 -0.303 2.881
```

=====

[3]
Density functional theory data (GGA-PBE) for crystalline Pu2Ga4Pd3Pt at its relaxed geometry.

Output
Formation enthalpy at 0 K ... -14.35 kcal/mol of atoms
SG ... P-4m2, No. 115
Crystal system ... tetragonal

Cell and atoms, written as extended XYZ:
```
10
Lattice="4.202 0.000 0.000 0.000 4.202 0.000 0.000 0.000 10.783" Properties=species:S:1:pos:R:3 pbc="T T T"
Pu 2.101 0.000 2.695
Pu 0.000 2.101 8.087
Ga 2.101 2.101 0.000
Ga 0.000 0.000 0.000
Ga 2.101 0.000 6.822
Ga 0.000 2.101 3.961
Pd 0.000 0.000 5.391
Pd 2.101 0.000 9.313
Pd 0.000 2.101 1.469
Pt 2.101 2.101 5.391
```

=====

[4]
Density functional theory data (GGA-PBE) for crystalline PuGa4PdPt2 at its relaxed geometry.

Output
Formation enthalpy at 0 K ... -13.52 kcal/mol of atoms
SG ... R-3m, No. 166
Crystal system ... trigonal

Cell and atoms, written as extended XYZ:
```
8
Lattice="-0.737 -0.914 4.164 2.755 -2.523 2.181 5.219 5.839 4.453" Properties=species:S:1:pos:R:3 pbc="T T T"
Pu 0.000 0.000 0.000
Ga 5.029 3.368 6.124
Ga 3.785 -0.723 7.253
Ga 3.453 3.125 3.544
Ga 2.208 -0.966 4.674
Pd 3.619 1.201 5.399
Pt 5.264 1.550 8.014
Pt 1.973 0.852 2.784
```

=====

[5]
Density functional theory data (GGA-PBE) for crystalline PuGa4Pd2Pt at its relaxed geometry.

Output
Formation enthalpy at 0 K ... -12.14 kcal/mol of atoms
SG ... R-3m, No. 166
Crystal system ... trigonal

Cell and atoms, written as extended XYZ:
```
8
Lattice="4.317 0.000 0.000 2.158 3.738 0.000 2.158 1.246 8.774" Properties=species:S:1:pos:R:3 pbc="T T T"
Pu 0.000 0.000 0.000
Ga 4.317 2.492 7.081
Ga 6.475 3.738 3.420
Ga 2.158 1.246 5.354
Ga 4.317 2.492 1.693
Pd 6.475 3.738 6.285
Pd 2.158 1.246 2.489
Pt 4.317 2.492 4.387
```

=====

[6]
Density functional theory data (GGA-PBE) for crystalline Ga2Pd2PtRh at its relaxed geometry.

Output
Formation enthalpy at 0 K ... -13.42 kcal/mol of atoms
SG ... Pmc2_1, No. 26
Crystal system ... orthorhombic

Cell and atoms, written as extended XYZ:
```
12
Lattice="4.117 0.000 0.000 0.000 5.535 0.000 0.000 0.000 7.830" Properties=species:S:1:pos:R:3 pbc="T T T"
Ga 0.000 1.731 6.632
Ga 2.058 1.140 2.798
Ga 0.000 4.499 1.198
Ga 2.058 3.907 5.032
Pd 2.058 0.236 0.290
Pd 0.000 1.877 1.408
Pd 2.058 3.004 7.540
Pd 0.000 4.644 6.422
Pt 2.058 0.955 5.340
Pt 2.058 3.722 2.490
Rh 0.000 5.384 3.643
Rh 0.000 2.617 4.187
```